The following is a DFT calculation (meta-GGA SCAN) of a PBEsol-optimized structure of MnGa2W.

The calculation puts the density of states at the Fermi level at 0.697 states/eV/atom. For the total energy, the calculation gives -2.206 Ry per atom. As for the space group: Fm-3m. The value obtained for the total magnetization is 3.33 Bohr magnetons per cell. The mass density comes out at 11.1 g cm⁻³.

a b c (Å): 4.3074 4.3074 4.3074
angles (deg): 60.00 60.00 60.00
Closest atoms and distances in Å follow each position.
Positions (direct):
Mn1 0.0000 0.0000 0.0000  8 Ga 2.64
Ga1 0.2500 0.2500 0.2500  4 Mn 2.64, 4 W 2.64
Ga2 0.7500 0.7500 0.7500  4 Mn 2.64, 4 W 2.64
W1 0.5000 0.5000 0.5000  8 Ga 2.64

The following is a DFT calculation (meta-GGA SCAN) of a PBEsol-optimized structure of MgH2.

The calculation puts the density of states at the Fermi level at 0.000 states/eV/atom. For the total energy, the calculation gives -0.309 Ry per atom. As for the space group: Pa-3. The value obtained for the total magnetization is 0.00 Bohr magnetons per cell. The mass density comes out at 1.6 g cm⁻³.

a b c (Å): 4.7796 4.7796 4.7796
angles (deg): 90.00 90.00 90.00
Closest atoms and distances in Å follow each position.
Positions (direct):
Mg1 0.0000 0.0000 0.0000  6 H 1.96
Mg2 0.0000 0.5000 0.5000  6 H 1.96
Mg3 0.5000 0.0000 0.5000  6 H 1.96
Mg4 0.5000 0.5000 0.0000  6 H 1.96
H1 0.1512 0.6512 0.8488  3 Mg 1.96
H2 0.1512 0.8488 0.3488  3 Mg 1.96
H3 0.3488 0.1512 0.8488  3 Mg 1.96
H4 0.3488 0.3488 0.3488  3 Mg 1.96
H5 0.6512 0.6512 0.6512  3 Mg 1.96
H6 0.6512 0.8488 0.1512  3 Mg 1.96
H7 0.8488 0.1512 0.6512  3 Mg 1.96
H8 0.8488 0.3488 0.1512  3 Mg 1.96